Record 1
Here is NaNdSm after structural relaxation from the Alexandria database. Energies are from PBE-GGA.

Cell lengths 3.567, 3.567, 8.673 Å; angles 101.86, 101.86, 90.00 degrees
Fractional coordinates of all 3 atoms:
Na 0.999 0.999 0.999
Sm 0.326 0.326 0.652
Nd 0.674 0.674 0.349

## Properties
* formation energy: 0.1255 eV per atom
* distance to the lowest polymorph of the same formula: 0.0504 eV per atom
* space-group type: I4mm (107)
* Fermi-level density of states: 3.3 states/eV/f.u.


Record 2
Here is Tb3Ho12Tl after structural relaxation from the Alexandria database. Energies are from PBE-GGA.

Cell lengths 4.936, 4.936, 20.052 Å; angles 90.00, 90.00, 90.00 degrees
Fractional coordinates of all 16 atoms:
Ho 0.500 0.000 0.626
Ho 0.500 0.000 0.374
Ho 0.000 0.500 0.626
Ho 0.500 0.000 0.122
Tb 0.000 0.000 0.500
Tb 0.000 0.000 0.249
Ho 0.500 0.500 0.245
Ho 0.500 0.000 0.878
Ho 0.000 0.500 0.878
Ho 0.000 0.500 0.122
Ho 0.500 0.500 0.755
Tb 0.000 0.000 0.751
Tl 0.000 0.000 0.000
Ho 0.000 0.500 0.374
Ho 0.500 0.500 0.500
Ho 0.500 0.500 0.000

## Properties
* formation energy: -0.0243 eV per atom
* space-group type: P4/mmm (123)
* Fermi-level density of states: 19.0 states/eV/f.u.


Record 3
Here is Hf2CdSb2 after structural relaxation from the Alexandria database. Energies are from PBE-GGA.

Cell lengths 7.900, 7.900, 3.787 Å; angles 90.00, 90.00, 90.00 degrees
Fractional coordinates of all 10 atoms:
Hf 0.361 0.861 0.000
Hf 0.861 0.639 0.000
Hf 0.639 0.139 0.000
Sb 0.345 0.155 0.500
Hf 0.139 0.361 0.000
Sb 0.845 0.345 0.500
Cd 0.500 0.500 0.000
Sb 0.655 0.845 0.500
Sb 0.155 0.655 0.500
Cd 0.000 0.000 0.000

## Properties
* distance to the lowest polymorph of the same formula: 0.0000 eV per atom
* space-group type: P4/mbm (127)
* E_form (uncorrected): -0.282 eV per atom
* Fermi-level density of states: 4.0 states/eV/f.u.


Record 4
Here is Na4Ac3CdO8 after structural relaxation from the Alexandria database. Energies are from PBE-GGA.

Cell lengths 7.375, 7.123, 7.390 Å; angles 121.16, 119.93, 90.00 degrees
Site moments in Bohr magnetons follow the coordinates.
Fractional coordinates of all 16 atoms:
Na 0.000 0.000 0.000  0.00
O 0.256 0.272 0.014  0.11
O 0.242 0.728 0.986  0.11
O 0.758 0.272 0.014  0.11
Ac 0.000 0.500 0.500  0.02
Na 0.000 0.000 0.500  0.00
O 0.744 0.728 0.986  0.11
Na 0.500 0.000 0.000  0.00
Cd 0.000 0.500 0.000  0.00
O 0.245 0.731 0.489  0.12
Na 0.500 0.000 0.500  0.00
Ac 0.500 0.500 0.500  0.02
O 0.258 0.275 0.517  0.06
O 0.755 0.269 0.511  0.12
Ac 0.500 0.500 0.000  0.02
O 0.742 0.725 0.483  0.06

## Properties
* space-group type: C2/m (12)
* E_form (uncorrected): -2.101 eV per atom
* Fermi-level density of states: 16.2 states/eV/f.u.


Record 5
Here is CrPtRh3 after structural relaxation from the Alexandria database. Energies are from PBE-GGA.

Cell lengths 4.294, 5.276, 8.912 Å; angles 51.67, 90.00, 90.00 degrees
Fractional coordinates of all 10 atoms:
Rh 0.250 0.011 0.731
Pt 0.750 0.498 0.255
Rh 0.750 0.378 0.621
Rh 0.750 0.989 0.269
Cr 0.750 0.920 0.575
Pt 0.250 0.502 0.745
Rh 0.250 0.622 0.379
Rh 0.250 0.404 0.096
Rh 0.750 0.596 0.904
Cr 0.250 0.080 0.425

## Properties
* formation energy: 0.2183 eV per atom
* distance to the lowest polymorph of the same formula: 0.0000 eV per atom
* space-group type: P2_1/m (11)
* Fermi-level density of states: 7.8 states/eV/f.u.


Record 6
Here is Pm5Nd2Al after structural relaxation from the Alexandria database. Energies are from PBE-GGA.

Cell lengths 4.965, 4.965, 10.923 Å; angles 103.14, 103.14, 90.00 degrees
Fractional coordinates of all 8 atoms:
Pm 0.118 0.618 0.235
Pm 0.382 0.882 0.765
Al 0.000 0.000 0.000
Pm 0.618 0.118 0.235
Pm 0.882 0.382 0.765
Nd 0.747 0.747 0.493
Nd 0.253 0.253 0.507
Pm 0.500 0.500 0.000

## Properties
* formation energy: -0.0534 eV per atom
* space-group type: I4/mmm (139)
* Fermi-level density of states: 9.7 states/eV/f.u.


Record 7
Here is NaEr2NpSe4 after structural relaxation from the Alexandria database. Energies are from PBE-GGA.

Cell lengths 4.064, 7.136, 7.112 Å; angles 70.86, 90.00, 90.00 degrees
Site moments in Bohr magnetons follow the coordinates.
Fractional coordinates of all 8 atoms:
Np 0.000 0.500 0.500  4.16
Er 0.000 0.000 0.000  0.03
Na 0.500 0.500 0.000  0.00
Er 0.500 0.000 0.500  0.10
Se 0.500 0.243 0.753  -0.03
Se 0.000 0.240 0.253  -0.01
Se 0.000 0.760 0.747  -0.01
Se 0.500 0.757 0.247  -0.03

## Properties
* space-group type: P2/m (10)
* E_form (uncorrected): -1.512 eV per atom
* Fermi-level density of states: 13.3 states/eV/f.u.


Record 8
Here is PuHfH after structural relaxation from the Alexandria database. Energies are from PBE-GGA.

Cell lengths 3.074, 3.074, 5.962 Å; angles 104.94, 104.94, 90.00 degrees
Site moments in Bohr magnetons follow the coordinates.
Fractional coordinates of all 3 atoms:
Pu 0.639 0.639 0.277  5.27
Hf 0.924 0.924 0.848  -0.22
H 0.438 0.438 0.875  0.00

## Properties
* distance to the lowest polymorph of the same formula: 0.1441 eV per atom
* space-group type: I4mm (107)
* Fermi-level density of states: 7.0 states/eV/f.u.


Record 9
Here is TbPr4Y after structural relaxation from the Alexandria database. Energies are from PBE-GGA.

Cell lengths 7.642, 7.642, 7.642 Å; angles 46.41, 46.41, 46.41 degrees
Fractional coordinates of all 6 atoms:
Tb 0.000 0.000 0.000
Pr 0.334 0.334 0.334
Pr 0.165 0.165 0.165
Y 0.500 0.500 0.500
Pr 0.835 0.835 0.835
Pr 0.666 0.666 0.666

## Properties
* formation energy: 0.3741 eV per atom
* distance to the lowest polymorph of the same formula: 0.0000 eV per atom
* space-group type: R-3m (166)
* Fermi-level density of states: 15.1 states/eV/f.u.


Record 10
Here is CrFe2Se after structural relaxation from the Alexandria database. Energies are from PBE-GGA.

Cell lengths 4.595, 4.595, 4.092 Å; angles 80.52, 80.52, 39.31 degrees
Site moments in Bohr magnetons follow the coordinates.
Fractional coordinates of all 4 atoms:
Cr 0.750 0.750 0.750  -2.75
Fe 0.004 0.004 0.985  2.27
Fe 0.496 0.496 0.515  2.27
Se 0.250 0.250 0.250  0.07

## Properties
* distance to the lowest polymorph of the same formula: 0.0401 eV per atom
* space-group type: C2/m (12)
* E_form (uncorrected): 0.232 eV per atom
* Fermi-level density of states: 3.6 states/eV/f.u.


Record 11
Here is Sr2DyPbO4 after structural relaxation from the Alexandria database. Energies are from PBE-GGA.

Cell lengths 3.466, 7.382, 6.529 Å; angles 120.82, 90.00, 90.00 degrees
Site moments in Bohr magnetons follow the coordinates.
Fractional coordinates of all 8 atoms:
Dy 0.500 0.500 0.000  0.00
Sr 0.500 0.000 0.500  0.02
O 0.500 0.307 0.182  0.01
O 0.500 0.693 0.818  0.01
Sr 0.000 0.500 0.500  0.01
Pb 0.000 0.000 0.000  0.09
O 0.000 0.705 0.267  0.01
O 0.000 0.295 0.733  0.01

## Properties
* space-group type: P2/m (10)
* E_form (uncorrected): -2.384 eV per atom
* Fermi-level density of states: 2.2 states/eV/f.u.


Record 12
Here is HfNb2N2 after structural relaxation from the Alexandria database. Energies are from PBE-GGA.

Cell lengths 3.123, 4.444, 5.481 Å; angles 113.92, 106.55, 90.00 degrees
Fractional coordinates of all 5 atoms:
N 0.662 0.162 0.324
Hf 0.000 0.000 0.000
N 0.338 0.838 0.676
Nb 0.326 0.326 0.651
Nb 0.674 0.674 0.349

## Properties
* space-group type: Immm (71)
* E_form (uncorrected): -1.110 eV per atom
* Fermi-level density of states: 2.1 states/eV/f.u.